Entry 1:
An optimized crystal structure of Li3Ca3WS8, computed with PBE-GGA.

Properties
density of states at the Fermi level	6.586	states/eV/f.u.
ρ	3.04	g/cm³
electronic total energy	-5.089	eV per atom
crystal system	trigonal
volume	21.14	A^3/atom

a b c (Å): 7.8555 7.8555 17.8035
angles (deg): 90.00 90.00 120.00
Space group R-3m (No. 166, hexagonal axes)
One atom of each set of equivalent atoms:
Li (0.0000, 0.5000, 0.0000) [9 per cell]
Ca (0.0000, 0.5000, 0.5000) [9 per cell]
W (0.0000, 0.0000, 0.5000) [3 per cell]
S (0.0000, 0.0000, 0.2558) [6 per cell]
S (0.0452, 0.5226, 0.2459) [18 per cell]

---

Entry 2:
An optimized crystal structure of LiCa2YS4, computed with PBE-GGA.

Properties
density of states at the Fermi level	0.000	states/eV/f.u.
ρ	2.88	g/cm³
electronic total energy	-5.585	eV per atom
crystal system	monoclinic
volume	21.96	A^3/atom

a b c (Å): 6.8043 3.9878 6.8361
angles (deg): 90.00 108.70 90.00
Space group P2/m (No. 10)
One atom of each set of equivalent atoms:
Li (0.0000, 0.0000, 0.0000) [1 per cell]
Ca (0.0000, 0.5000, 0.5000) [1 per cell]
Ca (0.5000, 0.0000, 0.5000) [1 per cell]
Y (0.5000, 0.5000, 0.0000) [1 per cell]
S (0.2523, 0.5000, 0.2435) [2 per cell]
S (0.2528, 0.0000, 0.7618) [2 per cell]

---

Entry 3:
An optimized crystal structure of LiCa3Y2S6, computed with PBE-GGA.

Properties
density of states at the Fermi level	3.445	states/eV/f.u.
ρ	3.13	g/cm³
electronic total energy	-5.819	eV per atom
crystal system	monoclinic
volume	21.96	A^3/atom

a b c (Å): 6.8531 11.8632 6.8732
angles (deg): 90.00 109.40 90.00
Space group C2/m (No. 12)
One atom of each set of equivalent atoms:
Li (0.0000, 0.0000, 0.0000) [2 per cell]
Ca (0.0000, 0.1652, 0.5000) [4 per cell]
Ca (0.0000, 0.5000, 0.5000) [2 per cell]
Y (0.0000, 0.3331, 0.0000) [4 per cell]
S (0.2464, 0.5000, 0.2408) [4 per cell]
S (0.2478, 0.1671, 0.2419) [8 per cell]

---

Entry 4:
An optimized crystal structure of LiCaYS3, computed with PBE-GGA.

Properties
density of states at the Fermi level	0.000	states/eV/f.u.
ρ	2.93	g/cm³
electronic total energy	-5.667	eV per atom
crystal system	monoclinic
volume	21.92	A^3/atom

a b c (Å): 8.1558 3.9145 8.4163
angles (deg): 90.00 101.72 90.00
Space group P2_1/m (No. 11)
One atom of each set of equivalent atoms:
Li (0.0852, 0.2500, 0.0836) [2 per cell]
Ca (0.1810, 0.2500, 0.7274) [2 per cell]
Y (0.3344, 0.7500, 0.3277) [2 per cell]
S (0.1084, 0.2500, 0.3679) [2 per cell]
S (0.2122, 0.7500, 0.0010) [2 per cell]
S (0.4271, 0.7500, 0.6655) [2 per cell]

---

Entry 5:
An optimized crystal structure of LiCa4Y3S8, computed with PBE-GGA.

Properties
density of states at the Fermi level	4.005	states/eV/f.u.
ρ	3.26	g/cm³
electronic total energy	-5.929	eV per atom
crystal system	trigonal
volume	21.96	A^3/atom

a b c (Å): 7.9028 7.9028 19.4855
angles (deg): 90.00 90.00 120.00
Space group R-3m (No. 166, hexagonal axes)
One atom of each set of equivalent atoms:
Li (0.0000, 0.0000, 0.0000) [3 per cell]
Ca (0.0000, 0.0000, 0.5000) [3 per cell]
Ca (0.0000, 0.5000, 0.5000) [9 per cell]
Y (0.0000, 0.5000, 0.0000) [9 per cell]
S (0.0000, 0.0000, 0.2517) [6 per cell]
S (0.9998, 0.4999, 0.2528) [18 per cell]

---

Entry 6:
An optimized crystal structure of Li2CaZrS4, computed with PBE-GGA.

Properties
ρ	2.91	g/cm³
electronic total energy	-5.471	eV per atom
crystal system	monoclinic
volume	19.53	A^3/atom

a b c (Å): 6.4872 3.8116 6.6959
angles (deg): 90.00 109.34 90.00
Space group P2/m (No. 10)
One atom of each set of equivalent atoms:
Li (0.0000, 0.0000, 0.0000) [1 per cell]
Li (0.0000, 0.5000, 0.5000) [1 per cell]
Ca (0.5000, 0.0000, 0.5000) [1 per cell]
Zr (0.5000, 0.5000, 0.0000) [1 per cell]
S (0.2514, 0.5000, 0.2276) [2 per cell]
S (0.2548, 0.0000, 0.7693) [2 per cell]

---

Entry 7:
An optimized crystal structure of Li2CaSb, computed with PBE-GGA.

Properties
density of states at the Fermi level	1.100	states/eV/f.u.
ρ	3.07	g/cm³
electronic total energy	-3.004	eV per atom
crystal system	monoclinic
volume	23.74	A^3/atom

a b c (Å): 4.4840 4.5051 4.7014
angles (deg): 90.00 90.77 90.00
Space group Pm (No. 6)
One atom of each set of equivalent atoms:
Li (0.0000, 0.0000, 0.0000) [1 per cell]
Li (0.4945, 0.5000, 0.0010) [1 per cell]
Ca (0.5007, 0.0000, 0.4987) [1 per cell]
Sb (0.0006, 0.5000, 0.4924) [1 per cell]

---

Entry 8:
An optimized crystal structure of Li7Ca3Sb4, computed with PBE-GGA.

Properties
density of states at the Fermi level	2.702	states/eV/f.u.
ρ	3.33	g/cm³
electronic total energy	-3.291	eV per atom
crystal system	monoclinic
volume	23.35	A^3/atom

a b c (Å): 16.7007 4.6657 11.1763
angles (deg): 90.00 131.34 90.00
Space group C2/m (No. 12)
One atom of each set of equivalent atoms:
Li (0.0000, 0.0000, 0.0000) [2 per cell]
Li (0.0254, 0.5000, 0.7981) [4 per cell]
Li (0.1661, 0.0000, 0.9024) [4 per cell]
Li (0.1750, 0.5000, 0.5112) [4 per cell]
Ca (0.0000, 0.0000, 0.5000) [2 per cell]
Ca (0.1941, 0.5000, 0.2397) [4 per cell]
Sb (0.0966, 0.0000, 0.3215) [4 per cell]
Sb (0.1764, 0.5000, 0.7628) [4 per cell]

---

Entry 9:
An optimized crystal structure of Li2CaSb, computed with PBE-GGA.

Properties
density of states at the Fermi level	1.196	states/eV/f.u.
ρ	2.62	g/cm³
electronic total energy	-2.599	eV per atom
crystal system	trigonal
volume	27.82	A^3/atom

a b c (Å): 3.5825 3.5825 30.0329
angles (deg): 90.00 90.00 120.00
Space group R-3m (No. 166, hexagonal axes)
One atom of each set of equivalent atoms:
Li (0.0000, 0.0000, 0.2335) [6 per cell]
Ca (0.0000, 0.0000, 0.0000) [3 per cell]
Sb (0.0000, 0.0000, 0.5000) [3 per cell]

---

Entry 10:
An optimized crystal structure of LiCa3Sb, computed with PBE-GGA.

Properties
density of states at the Fermi level	4.312	states/eV/f.u.
ρ	1.91	g/cm³
energy relative to the lowest polymorph listed for this composition	0.000	eV per atom
crystal system	cubic
volume	43.25	A^3/atom

a b c (Å): 6.0022 6.0022 6.0022
angles (deg): 90.00 90.00 90.00
Space group Pm-3m (No. 221)
One atom of each set of equivalent atoms:
Li (0.0000, 0.0000, 0.0000) [1 per cell]
Ca (0.0000, 0.5000, 0.5000) [3 per cell]
Sb (0.5000, 0.5000, 0.5000) [1 per cell]

---

Entry 11:
An optimized crystal structure of LiCaSb, computed with PBE-GGA.

Properties
density of states at the Fermi level	1.872	states/eV/f.u.
ρ	3.13	g/cm³
electronic total energy	-2.927	eV per atom
crystal system	trigonal
volume	29.87	A^3/atom

a b c (Å): 3.7770 3.7770 7.2525
angles (deg): 90.00 90.00 120.00
Space group P3m1 (No. 156)
One atom of each set of equivalent atoms:
Li (0.0000, 0.0000, 0.0000) [1 per cell]
Ca (0.3333, 0.6667, 0.5787) [1 per cell]
Sb (0.6667, 0.3333, 0.2555) [1 per cell]

---

Entry 12:
An optimized crystal structure of Li5Ca12Sb3, computed with PBE-GGA.

Properties
density of states at the Fermi level	15.156	states/eV/f.u.
ρ	1.95	g/cm³
electronic total energy	-2.301	eV per atom
crystal system	cubic
volume	37.50	A^3/atom

a b c (Å): 18.1710 18.1710 18.1710
angles (deg): 90.00 90.00 90.00
Space group Ia-3d (No. 230)
One atom of each set of equivalent atoms:
Li (0.0000, 0.0000, 0.0000) [16 per cell]
Li (0.0000, 0.2500, 0.3750) [24 per cell]
Ca (0.0214, 0.0758, 0.6473) [96 per cell]
Sb (0.0000, 0.2500, 0.1250) [24 per cell]

---

Entry 13:
An optimized crystal structure of LiCaSb, computed with PBE-GGA.

Properties
ρ	3.72	g/cm³
electronic total energy	-3.618	eV per atom
crystal system	monoclinic
volume	25.14	A^3/atom

a b c (Å): 7.5853 4.5929 12.9864
angles (deg): 90.00 90.03 90.00
Space group P2_1/m (No. 11)
One atom of each set of equivalent atoms:
Li (0.0018, 0.2500, 0.0900) [2 per cell]
Li (0.1476, 0.2500, 0.4570) [2 per cell]
Li (0.3484, 0.7500, 0.7932) [2 per cell]
Ca (0.0134, 0.2500, 0.6958) [2 per cell]
Ca (0.3367, 0.7500, 0.0787) [2 per cell]
Ca (0.4843, 0.7500, 0.3718) [2 per cell]
Sb (0.2330, 0.7500, 0.5717) [2 per cell]
Sb (0.2343, 0.2500, 0.9064) [2 per cell]
Sb (0.2703, 0.2500, 0.2473) [2 per cell]

---

Entry 14:
An optimized crystal structure of LiCa2Sb, computed with PBE-GGA.

Properties
density of states at the Fermi level	1.627	states/eV/f.u.
ρ	2.91	g/cm³
electronic total energy	-3.126	eV per atom
crystal system	orthorhombic
volume	29.76	A^3/atom

a b c (Å): 4.5868 4.4399 11.6897
angles (deg): 90.00 90.00 90.00
Space group Amm2 (No. 38)
One atom of each set of equivalent atoms:
Li (0.0000, 0.0000, 0.0000) [2 per cell]
Ca (0.0000, 0.0000, 0.7009) [2 per cell]
Ca (0.5000, 0.0000, 0.4164) [2 per cell]
Sb (0.5000, 0.0000, 0.1325) [2 per cell]

---

Entry 15:
An optimized crystal structure of Li2CaSb, computed with PBE-GGA.

Properties
density of states at the Fermi level	2.287	states/eV/f.u.
ρ	2.98	g/cm³
electronic total energy	-2.845	eV per atom
crystal system	orthorhombic
volume	24.46	A^3/atom

a b c (Å): 3.4852 4.2738 6.5690
angles (deg): 90.00 90.00 90.00
Space group Pmmm (No. 47)
One atom of each set of equivalent atoms:
Li (0.0000, 0.0000, 0.2025) [2 per cell]
Ca (0.5000, 0.5000, 0.5000) [1 per cell]
Sb (0.5000, 0.5000, 0.0000) [1 per cell]

---

Entry 16:
An optimized crystal structure of Li2CaSb, computed with PBE-GGA.

Properties
density of states at the Fermi level	1.158	states/eV/f.u.
ρ	2.78	g/cm³
electronic total energy	-2.872	eV per atom
crystal system	tetragonal
volume	26.23	A^3/atom

a b c (Å): 4.5687 4.5687 20.1027
angles (deg): 90.00 90.00 90.00
Space group I-42d (No. 122)
One atom of each set of equivalent atoms:
Li (0.1530, 0.2500, 0.1250) [8 per cell]
Ca (0.0000, 0.0000, 0.5000) [4 per cell]
Sb (0.0000, 0.0000, 0.0000) [4 per cell]

---

Entry 17:
An optimized crystal structure of LiCa2Sb, computed with PBE-GGA.

Properties
density of states at the Fermi level	1.213	states/eV/f.u.
ρ	3.11	g/cm³
electronic total energy	-3.130	eV per atom
crystal system	tetragonal
volume	27.86	A^3/atom

a b c (Å): 5.0491 5.0491 4.3709
angles (deg): 90.00 90.00 90.00
Space group P4/mmm (No. 123)
One atom of each set of equivalent atoms:
Li (0.0000, 0.0000, 0.0000) [1 per cell]
Ca (0.0000, 0.5000, 0.5000) [2 per cell]
Sb (0.5000, 0.5000, 0.0000) [1 per cell]

---

Entry 18:
An optimized crystal structure of LiCaSb, computed with PBE-GGA.

Properties
ρ	3.76	g/cm³
electronic total energy	-3.623	eV per atom
crystal system	orthorhombic
volume	24.82	A^3/atom

a b c (Å): 7.6729 4.6468 8.3527
angles (deg): 90.00 90.00 90.00
Space group Pnma (No. 62)
One atom of each set of equivalent atoms:
Li (0.1513, 0.2500, 0.0720) [4 per cell]
Ca (0.0104, 0.2500, 0.7016) [4 per cell]
Sb (0.2308, 0.7500, 0.8996) [4 per cell]

---

Entry 19:
An optimized crystal structure of Li3CaSb, computed with PBE-GGA.

Properties
density of states at the Fermi level	1.101	states/eV/f.u.
ρ	2.46	g/cm³
energy relative to the lowest polymorph listed for this composition	0.000	eV per atom
crystal system	monoclinic
volume	24.63	A^3/atom

a b c (Å): 7.8111 7.3161 9.1673
angles (deg): 90.00 109.91 90.00
Space group P2_1/c (No. 14)
One atom of each set of equivalent atoms:
Li (0.0364, 0.1921, 0.0063) [4 per cell]
Li (0.3091, 0.0109, 0.3472) [4 per cell]
Li (0.3866, 0.6743, 0.5967) [4 per cell]
Ca (0.2198, 0.0019, 0.7672) [4 per cell]
Sb (0.4037, 0.2243, 0.0980) [4 per cell]